Compound: Li5MnO3F
Source: Alexandria via LeMat-Bulk
Functional: GGA+U
Structure: relaxed

Properties
The energy above the most stable polymorph in this dataset comes out at 0.000 eV/atom. Its space group is No. 12. The calculation puts the density of states at the Fermi level at 0.00 states/eV per atom.

Lattice parameters (Å, degrees): 6.9481 6.9481 4.7497 102.41 102.41 90.29
Closest atoms and distances in Å follow each position.
Fractional positions:
1 Li 0.0939 0.6499 0.6177  3 O 1.94-1.98, 1 F 2.02
2 Li 0.1437 0.1437 0.8614  2 O 1.96
3 Li 0.1489 0.5902 0.1292  3 O 1.94-1.96, 1 F 2.06
4 Li 0.3501 0.9061 0.3823  3 O 1.94-1.98, 1 F 2.02
5 Li 0.4098 0.8511 0.8708  3 O 1.94-1.96, 1 F 2.06
6 Li 0.5902 0.1489 0.1292  3 O 1.94-1.96, 1 F 2.06
7 Li 0.6499 0.0939 0.6177  3 O 1.94-1.98, 1 F 2.02
8 Li 0.8511 0.4098 0.8708  3 O 1.94-1.96, 1 F 2.06
9 Li 0.8563 0.8563 0.1386  2 O 1.96
10 Li 0.9061 0.3501 0.3823  3 O 1.94-1.98, 1 F 2.02
11 Mn 0.3736 0.3736 0.6329  4 O 2.09-2.14
12 Mn 0.6264 0.6264 0.3671  4 O 2.09-2.14
13 O 0.1017 0.4003 0.7537  5 Li 1.94-1.97, 1 Mn 2.09
14 O 0.3502 0.6498 0.5000  4 Li 1.96-1.98, 2 Mn 2.14
15 O 0.4003 0.1017 0.7537  5 Li 1.94-1.97, 1 Mn 2.09
16 O 0.5997 0.8983 0.2463  5 Li 1.94-1.97, 1 Mn 2.09
17 O 0.6498 0.3502 0.5000  4 Li 1.96-1.98, 2 Mn 2.14
18 O 0.8983 0.5997 0.2463  5 Li 1.94-1.97, 1 Mn 2.09
19 F 0.1444 0.8556 0.0000  6 Li 2.02-2.24
20 F 0.8556 0.1444 0.0000  6 Li 2.02-2.24